! Ca2Tc2Se | the Alexandria database | PBE-GGA | relaxed; values from VASP
! - electronic total energy (eV for the cell shown) = -51.924
! - raw formation energy (eV/f.u.) = 2.258
! - DOS at the Fermi energy (states/eV/atom) = 1.226
&SYSTEM
  ibrav = 0, nat = 10, ntyp = 3
/
ATOMIC_SPECIES
Ca 40.08 Ca.upf
Tc 98.00 Tc.upf
Se 78.96 Se.upf
CELL_PARAMETERS angstrom
5.8460 0.0000 0.0000
0.0000 5.8460 0.0000
0.0000 0.0000 7.2677
ATOMIC_POSITIONS angstrom
Ca 0.0000 2.9230 1.8169
Ca 0.0000 2.9230 5.4508
Ca 2.9230 0.0000 1.8169
Ca 2.9230 0.0000 5.4508
Tc 0.0000 0.0000 1.1064
Tc 0.0000 0.0000 6.1613
Tc 2.9230 2.9230 2.5275
Tc 2.9230 2.9230 4.7403
Se 0.0000 0.0000 3.6339
Se 2.9230 2.9230 0.0000